1.
Material: Dy2PuTe4
Method: DFT, PBE
State: relaxed

Lattice parameters (Å, degrees): 7.466 7.466 14.951 90.00 90.00 146.35
Fractional coordinates of all 14 atoms:
Dy1 0.134 0.866 0.567
Dy2 0.134 0.866 0.933
Dy3 0.866 0.134 0.067
Dy4 0.866 0.134 0.433
Pu1 0.381 0.619 0.750
Pu2 0.619 0.381 0.250
Te1 0.043 0.957 0.750
Te2 0.225 0.775 0.122
Te3 0.225 0.775 0.378
Te4 0.500 0.500 0.000
Te5 0.500 0.500 0.500
Te6 0.775 0.225 0.622
Te7 0.775 0.225 0.878
Te8 0.957 0.043 0.250

Computed properties:
Uncorrected energy = -0.2361 Ha/atom
Calculated volume = 32.99 Å³ per atom
Relative energy among the computed polymorphs = 0.0000 eV/atom
D(E_F) = 36.5 states/eV/cell
E_form (uncorrected) = -1.267 eV per atom


2.
Material: DyPuTe
Method: DFT, PBE
State: relaxed

Lattice parameters (Å, degrees): 5.176 5.176 3.827 90.00 90.00 120.00
Fractional coordinates of all 3 atoms:
Dy1 0.000 0.000 0.000
Pu1 0.667 0.333 0.500
Te1 0.333 0.667 0.000

Computed properties:
Uncorrected energy = -0.2839 Ha/atom
Calculated volume = 29.59 Å³ per atom
Relative energy among the computed polymorphs = 0.1797 eV/atom
D(E_F) = 8.8 states/eV/cell
E_form (uncorrected) = -0.368 eV per atom


3.
Material: DyPu5Te6
Method: DFT, PBE
State: relaxed

Lattice parameters (Å, degrees): 7.661 7.661 7.664 99.60 99.60 120.05
Fractional coordinates of all 12 atoms:
Dy1 0.000 0.000 0.000
Pu1 0.168 0.832 0.500
Pu2 0.334 0.666 0.000
Pu3 0.500 0.500 0.500
Pu4 0.666 0.334 0.000
Pu5 0.832 0.168 0.500
Te1 0.082 0.413 0.248
Te2 0.247 0.247 0.750
Te3 0.413 0.082 0.248
Te4 0.587 0.918 0.752
Te5 0.753 0.753 0.250
Te6 0.918 0.587 0.752

Computed properties:
Uncorrected energy = -0.3328 Ha/atom
Calculated volume = 30.59 Å³ per atom
D(E_F) = 55.2 states/eV/cell
E_form (uncorrected) = -1.130 eV per atom


4.
Material: DyPu6Te8
Method: DFT, PBE
State: relaxed

Lattice parameters (Å, degrees): 8.859 8.859 8.859 60.00 60.00 60.00
Fractional coordinates of all 15 atoms:
Dy1 0.000 0.000 0.000
Pu1 0.000 0.000 0.500
Pu2 0.000 0.500 0.000
Pu3 0.000 0.500 0.500
Pu4 0.500 0.000 0.000
Pu5 0.500 0.000 0.500
Pu6 0.500 0.500 0.000
Te1 0.250 0.250 0.250
Te2 0.250 0.250 0.750
Te3 0.250 0.750 0.250
Te4 0.250 0.750 0.750
Te5 0.750 0.250 0.250
Te6 0.750 0.250 0.750
Te7 0.750 0.750 0.250
Te8 0.750 0.750 0.750

Computed properties:
Uncorrected energy = -0.3255 Ha/atom
Calculated volume = 32.77 Å³ per atom
D(E_F) = 68.5 states/eV/cell
E_form (uncorrected) = -1.143 eV per atom